Record 1
# Zr2Co (PBE, optimized geometry)
data_Zr2Co
_chemical_formula_sum 'Zr2 Co1'
_symmetry_space_group_name_H-M 'P 4/m m m'
_symmetry_Int_Tables_number 123
_symmetry_space_group_name_Hall '-P 4 2'
_cell_length_a 4.4594
_cell_length_b 4.4594
_cell_length_c 3.0413
_cell_angle_alpha 90.00
_cell_angle_beta 90.00
_cell_angle_gamma 90.00
loop_
_atom_site_label
_atom_site_type_symbol
_atom_site_fract_x
_atom_site_fract_y
_atom_site_fract_z
Zr1 Zr 0.0000 0.5000 0.0000
Co1 Co 0.0000 0.0000 0.5000
# Uncorrected energy   -8.008 eV/atom
# E_form   0.059 eV per atom
# V   20.2 Å³ per atom
# M_tot   0.000 μB per atom

***

Record 2
# TbGaCuRh (PBE, optimized geometry)
data_TbGaCuRh
_chemical_formula_sum 'Tb4 Ga4 Cu4 Rh4'
_symmetry_space_group_name_H-M 'F -4 3 m'
_symmetry_Int_Tables_number 216
_symmetry_space_group_name_Hall 'F -4 2 3'
_cell_length_a 6.5083
_cell_length_b 6.5083
_cell_length_c 6.5083
_cell_angle_alpha 90.00
_cell_angle_beta 90.00
_cell_angle_gamma 90.00
loop_
_atom_site_label
_atom_site_type_symbol
_atom_site_fract_x
_atom_site_fract_y
_atom_site_fract_z
Tb1 Tb 0.0000 0.0000 0.0000
Ga1 Ga 0.0000 0.0000 0.5000
Cu1 Cu 0.2500 0.2500 0.7500
Rh1 Rh 0.2500 0.2500 0.2500
# Uncorrected energy   -5.248 eV/atom
# E_form   -0.472 eV per atom
# V   17.2 Å³ per atom
# M_tot   0.000 μB per atom

***

Record 3
# Tl4TeS (PBE, optimized geometry)
data_Tl4TeS
_chemical_formula_sum 'Tl8 Te2 S2'
_symmetry_space_group_name_H-M 'P -1'
_symmetry_Int_Tables_number 2
_symmetry_space_group_name_Hall '-P 1'
_cell_length_a 7.7437
_cell_length_b 7.8731
_cell_length_c 8.4483
_cell_angle_alpha 80.87
_cell_angle_beta 89.96
_cell_angle_gamma 60.56
loop_
_atom_site_label
_atom_site_type_symbol
_atom_site_fract_x
_atom_site_fract_y
_atom_site_fract_z
Tl1 Tl 0.1049 0.1087 0.1175
Tl2 Tl 0.2591 0.5900 0.5480
Tl3 Tl 0.2863 0.1087 0.6174
Tl4 Tl 0.3492 0.4100 0.9516
Te1 Te 0.0747 0.5001 0.2499
S1 S 0.0000 0.0000 0.5000
S2 S 0.5000 0.0000 0.0000
# Uncorrected energy   -3.052 eV/atom
# V   36.8 Å³ per atom
# M_tot   0.000 μB per atom

***

Record 4
# V2Pd2Cl (PBE, optimized geometry)
data_V2Pd2Cl
_chemical_formula_sum 'V4 Pd4 Cl2'
_symmetry_space_group_name_H-M 'P 4/m b m'
_symmetry_Int_Tables_number 127
_symmetry_space_group_name_Hall '-P 4 2ab'
_cell_length_a 7.2354
_cell_length_b 7.2354
_cell_length_c 3.1573
_cell_angle_alpha 90.00
_cell_angle_beta 90.00
_cell_angle_gamma 90.00
loop_
_atom_site_label
_atom_site_type_symbol
_atom_site_fract_x
_atom_site_fract_y
_atom_site_fract_z
V1 V 0.1672 0.3328 0.0000
Pd1 Pd 0.1294 0.6294 0.5000
Cl1 Cl 0.0000 0.0000 0.0000
# Uncorrected energy   -5.970 eV/atom
# V   16.5 Å³ per atom
# M_tot   0.810 μB per atom

***

Record 5
# Sc3Ge4Rh2 (PBE, optimized geometry)
data_Sc3Ge4Rh2
_chemical_formula_sum 'Sc6 Ge8 Rh4'
_symmetry_space_group_name_H-M 'C 1 2/m 1'
_symmetry_Int_Tables_number 12
_symmetry_space_group_name_Hall '-C 2y'
_cell_length_a 10.3832
_cell_length_b 4.1904
_cell_length_c 7.9167
_cell_angle_alpha 90.00
_cell_angle_beta 111.53
_cell_angle_gamma 90.00
loop_
_atom_site_label
_atom_site_type_symbol
_atom_site_fract_x
_atom_site_fract_y
_atom_site_fract_z
Sc1 Sc 0.0000 0.0000 0.0000
Sc2 Sc 0.1307 0.5000 0.6905
Ge1 Ge 0.0755 0.0000 0.3940
Ge2 Ge 0.2095 0.5000 0.0672
Rh1 Rh 0.1820 0.5000 0.3609
# Uncorrected energy   -6.611 eV/atom
# E_form   -0.815 eV per atom
# V   17.8 Å³ per atom
# M_tot   0.000 μB per atom

***

Record 6
# CsCa2GaAg (PBE, optimized geometry)
data_CsCa2GaAg
_chemical_formula_sum 'Cs1 Ca2 Ga1 Ag1'
_symmetry_space_group_name_H-M 'P 4/m m m'
_symmetry_Int_Tables_number 123
_symmetry_space_group_name_Hall '-P 4 2'
_cell_length_a 5.8326
_cell_length_b 5.8326
_cell_length_c 6.6125
_cell_angle_alpha 90.00
_cell_angle_beta 90.00
_cell_angle_gamma 90.00
loop_
_atom_site_label
_atom_site_type_symbol
_atom_site_fract_x
_atom_site_fract_y
_atom_site_fract_z
Cs1 Cs 0.0000 0.0000 0.0000
Ca1 Ca 0.0000 0.5000 0.5000
Ga1 Ga 0.5000 0.5000 0.0000
Ag1 Ag 0.0000 0.0000 0.5000
# Uncorrected energy   -1.873 eV/atom
# E_form   0.274 eV per atom
# V   45.0 Å³ per atom
# M_tot   0.000 μB per atom

***

Record 7
# TmPaCuOs (PBE, optimized geometry)
data_TmPaCuOs
_chemical_formula_sum 'Tm4 Pa4 Cu4 Os4'
_symmetry_space_group_name_H-M 'F -4 3 m'
_symmetry_Int_Tables_number 216
_symmetry_space_group_name_Hall 'F -4 2 3'
_cell_length_a 6.8474
_cell_length_b 6.8474
_cell_length_c 6.8474
_cell_angle_alpha 90.00
_cell_angle_beta 90.00
_cell_angle_gamma 90.00
loop_
_atom_site_label
_atom_site_type_symbol
_atom_site_fract_x
_atom_site_fract_y
_atom_site_fract_z
Tm1 Tm 0.0000 0.0000 0.0000
Pa1 Pa 0.0000 0.0000 0.5000
Cu1 Cu 0.2500 0.2500 0.2500
Os1 Os 0.2500 0.2500 0.7500
# Uncorrected energy   -7.523 eV/atom
# E_form   -0.199 eV per atom
# V   20.1 Å³ per atom
# M_tot   0.000 μB per atom

***

Record 8
# Pu2SiBr (PBE, optimized geometry)
data_Pu2SiBr
_chemical_formula_sum 'Pu2 Si1 Br1'
_symmetry_space_group_name_H-M 'P 4/m m m'
_symmetry_Int_Tables_number 123
_symmetry_space_group_name_Hall '-P 4 2'
_cell_length_a 3.4717
_cell_length_b 3.4717
_cell_length_c 7.7989
_cell_angle_alpha 90.00
_cell_angle_beta 90.00
_cell_angle_gamma 90.00
loop_
_atom_site_label
_atom_site_type_symbol
_atom_site_fract_x
_atom_site_fract_y
_atom_site_fract_z
Pu1 Pu 0.0000 0.0000 0.2133
Si1 Si 0.5000 0.5000 0.0000
Br1 Br 0.5000 0.5000 0.5000
# Uncorrected energy   -9.565 eV/atom
# V   23.5 Å³ per atom
# M_tot   2.868 μB per atom

***

Record 9
# Fe2Tc3 (PBE, optimized geometry)
data_Fe2Tc3
_chemical_formula_sum 'Fe16 Tc24'
_symmetry_space_group_name_H-M 'F d d 2'
_symmetry_Int_Tables_number 43
_symmetry_space_group_name_Hall 'F 2 -2d'
_cell_length_a 9.0533
_cell_length_b 12.6345
_cell_length_c 4.6311
_cell_angle_alpha 90.00
_cell_angle_beta 90.00
_cell_angle_gamma 90.00
loop_
_atom_site_label
_atom_site_type_symbol
_atom_site_fract_x
_atom_site_fract_y
_atom_site_fract_z
Fe1 Fe 0.0271 0.2978 0.0000
Tc1 Tc 0.0000 0.0000 0.4516
Tc2 Tc 0.0517 0.3966 0.4682
# Uncorrected energy   -9.458 eV/atom
# E_form   0.146 eV per atom
# V   13.2 Å³ per atom
# M_tot   0.441 μB per atom

***

Record 10
# Pm2ScSi (PBE, optimized geometry)
data_Pm2ScSi
_chemical_formula_sum 'Pm6 Sc3 Si3'
_symmetry_space_group_name_H-M 'R -3 m'
_symmetry_Int_Tables_number 166
_symmetry_space_group_name_Hall '-R 3 2"'
_cell_length_a 3.5380
_cell_length_b 3.5380
_cell_length_c 31.9803
_cell_angle_alpha 90.00
_cell_angle_beta 90.00
_cell_angle_gamma 120.00
loop_
_atom_site_label
_atom_site_type_symbol
_atom_site_fract_x
_atom_site_fract_y
_atom_site_fract_z
Pm1 Pm 0.0000 0.0000 0.1013
Sc1 Sc 0.0000 0.0000 0.0000
Si1 Si 0.0000 0.0000 0.5000
# Uncorrected energy   -5.183 eV/atom
# V   28.9 Å³ per atom
# M_tot   0.003 μB per atom

***

> Among the records above, which one has the lowest uncorrected energy?

Pu2SiBr